! PBEsol LiZn3, optimized geometry; values from VASP
! Volume (Å³ per atom): 14.15
! Raw total energy (eV/atom): -1.77
! Total moment (μB per cell): 0.00
! Formation energy (kcal/mol of atoms): -2.085
! Crystal system: tetragonal
&SYSTEM
  ibrav = 0, nat = 4, ntyp = 2
/
ATOMIC_SPECIES
Zn 65.41 Zn.upf
Li 6.94 Li.upf
CELL_PARAMETERS angstrom
-1.990 -1.236 1.481
-0.890 -1.299 -2.281
4.550 -5.619 1.426
ATOMIC_POSITIONS angstrom
Zn -0.290 -2.689 -0.039
Zn 2.275 -2.809 0.713
Zn 1.959 -5.465 0.665
Li 0.000 0.000 0.000